Compound: SrTbEuWO6
Source: the Alexandria database
Functional: PBE+U
Structure: relaxed

Values from the calculation:
Final energy   -8.06 eV/atom
Calculated density   7.6 Mg/m³

Cell lengths 8.417, 8.417, 8.417 Å; angles 90.00, 90.00, 90.00 degrees
Space group F-43m (No. 216)
One atom of each set of equivalent atoms:
Sr 0.000 0.000 0.000
Tb 0.250 0.250 0.750
Eu 0.000 0.000 0.500
W 0.250 0.250 0.250
O 0.014 0.250 0.250